# 1
VASP calculation (GGA-PBE) on K3SiF8 after structural relaxation.

a b c (Å): 8.0091 8.0091 6.7895
angles (deg): 90.00 90.00 120.00
Space group P6_3mc (No. 186)
Symmetry-distinct sites (fractional):
1 K 0.1579 0.3157 0.0000 x6
2 Si 0.3333 0.6667 0.4367 x2
3 F 0.0000 0.0000 0.2572 x2
4 F 0.1306 0.5653 0.2897 x6
5 F 0.2303 0.4606 0.5778 x6
6 F 0.3333 0.6667 0.9139 x2

## Properties
E_form (uncorrected) (meV/atom): -2758
Density (g/cm3): 2.62
Magnetic moment (μB/f.u.): 1.2

# 2
VASP calculation (GGA-PBE) on BePdNF2 after structural relaxation.

a b c (Å): 3.098 3.098 6.570
angles (deg): 90.00 90.00 90.00
Space group P4/mmm (No. 123)
Symmetry-distinct sites (fractional):
1 Be 0.000 0.000 0.000 x1
2 Pd 0.500 0.500 0.500 x1
3 N 0.000 0.000 0.500 x1
4 F 0.000 0.500 0.000 x2

## Properties
E_form (uncorrected) (meV/atom): -999
Density (g/cm3): 4.41
Magnetic moment (μB/f.u.): 0.7

# 3
VASP calculation (GGA-PBE) on La2TlPt after structural relaxation.

a b c (Å): 4.512 4.512 10.571
angles (deg): 90.00 90.00 90.00
Space group I-4m2 (No. 119)
Symmetry-distinct sites (fractional):
1 La 0.000 0.000 0.000 x2
2 La 0.000 0.500 0.250 x2
3 Tl 0.000 0.000 0.500 x2
4 Pt 0.000 0.500 0.750 x2

## Properties
Density (g/cm3): 10.45
Magnetic moment (μB/f.u.): 0.0
ΔE_f (eV per atom): -0.554

# 4
VASP calculation (GGA-PBE) on InReO2 after structural relaxation.

a b c (Å): 5.123 5.123 10.958
angles (deg): 90.00 90.00 90.00
Space group I-42d (No. 122)
Symmetry-distinct sites (fractional):
1 In 0.000 0.000 0.000 x4
2 Re 0.000 0.000 0.500 x4
3 O 0.079 0.250 0.625 x8

## Properties
E_form (uncorrected) (meV/atom): -460
Density (g/cm3): 7.69
Magnetic moment (μB/f.u.): 0.0

Which formula does entry 4 have?
InReO2